Record 1
# LaThSn (GGA-PBE, optimized geometry)
# - VASP energy (eV/atom) = -5.643
# - density of states at the Fermi level (states/eV/cell) = 4.49
# - total magnetization (μB/f.u.) = 0.0
# - ΔE to the lowest computed polymorph (eV/atom) = 0.335
data_LaThSn
_cell_length_a 5.4209
_cell_length_b 5.4209
_cell_length_c 3.6752
_cell_angle_alpha 90.00
_cell_angle_beta 90.00
_cell_angle_gamma 120.00
_space_group_name_H-M_alt 'P 3 m 1'
_space_group_IT_number 156
loop_
_space_group_symop_operation_xyz
'x,y,z'
'-y,x-y,z'
'-x+y,-x,z'
'-y,-x,z'
'-x+y,y,z'
'x,x-y,z'
loop_
_atom_site_label
_atom_site_type_symbol
_atom_site_fract_x
_atom_site_fract_y
_atom_site_fract_z
La1 La 0.0000 0.0000 0.0000
Th1 Th 0.6667 0.3333 0.4312
Sn1 Sn 0.3333 0.6667 0.6899

Record 2
# La5ThSn5 (GGA-PBE, optimized geometry)
# - VASP energy (eV/atom) = -5.252
# - density of states at the Fermi level (states/eV/cell) = 20.29
# - total magnetization (μB/f.u.) = 0.5
data_La5ThSn5
_cell_length_a 14.8177
_cell_length_b 6.4937
_cell_length_c 8.9276
_cell_angle_alpha 90.00
_cell_angle_beta 107.45
_cell_angle_gamma 90.00
_space_group_name_H-M_alt 'C 1 2/m 1'
_space_group_IT_number 12
loop_
_space_group_symop_operation_xyz
'x,y,z'
'-x,-y,-z'
'-x,y,-z'
'x,-y,z'
'x+1/2,y+1/2,z'
'-x+1/2,-y+1/2,-z'
'-x+1/2,y+1/2,-z'
'x+1/2,-y+1/2,z'
loop_
_atom_site_label
_atom_site_type_symbol
_atom_site_fract_x
_atom_site_fract_y
_atom_site_fract_z
La1 La 0.0000 0.0000 0.0000
La2 La 0.1697 0.5000 0.3387
La3 La 0.1697 0.5000 0.8323
Th1 Th 0.0000 0.0000 0.5000
Sn1 Sn 0.0000 0.5000 0.5000
Sn2 Sn 0.1614 0.0000 0.3292
Sn3 Sn 0.1635 0.0000 0.8320

Record 3
# LaThSn2 (GGA-PBE, optimized geometry)
# - VASP energy (eV/atom) = -5.494
# - density of states at the Fermi level (states/eV/cell) = 7.35
# - total magnetization (μB/f.u.) = 0.0
# - ΔE to the lowest computed polymorph (eV/atom) = 0.262
data_LaThSn2
_cell_length_a 3.5702
_cell_length_b 3.5702
_cell_length_c 32.5732
_cell_angle_alpha 90.00
_cell_angle_beta 90.00
_cell_angle_gamma 120.00
_space_group_name_H-M_alt 'R -3 m'
_space_group_IT_number 166
_space_group_name_Hall '-R 3 2"'
loop_
_atom_site_label
_atom_site_type_symbol
_atom_site_fract_x
_atom_site_fract_y
_atom_site_fract_z
La1 La 0.0000 0.0000 0.0000
Th1 Th 0.0000 0.0000 0.5000
Sn1 Sn 0.0000 0.0000 0.2494

Record 4
# LaThSn2 (GGA-PBE, optimized geometry)
# - VASP energy (eV/atom) = -5.756
# - density of states at the Fermi level (states/eV/cell) = 5.33
# - total magnetization (μB/f.u.) = 0.0
# - ΔE to the lowest computed polymorph (eV/atom) = 0.000
data_LaThSn2
_cell_length_a 4.5297
_cell_length_b 4.6237
_cell_length_c 11.8763
_cell_angle_alpha 90.00
_cell_angle_beta 90.00
_cell_angle_gamma 90.00
_space_group_name_H-M_alt 'A m m 2'
_space_group_IT_number 38
loop_
_space_group_symop_operation_xyz
'x,y,z'
'-x,-y,z'
'-x,y,z'
'x,-y,z'
'x,y+1/2,z+1/2'
'-x,-y+1/2,z+1/2'
'-x,y+1/2,z+1/2'
'x,-y+1/2,z+1/2'
loop_
_atom_site_label
_atom_site_type_symbol
_atom_site_fract_x
_atom_site_fract_y
_atom_site_fract_z
La1 La 0.0000 0.0000 0.0000
Th1 Th 0.5000 0.0000 0.7285
Sn1 Sn 0.0000 0.0000 0.2715
Sn2 Sn 0.5000 0.0000 0.4534

Record 5
# LaThSn (GGA-PBE, optimized geometry)
# - VASP energy (eV/atom) = -5.771
# - density of states at the Fermi level (states/eV/cell) = 12.89
# - total magnetization (μB/f.u.) = 0.0
# - ΔE to the lowest computed polymorph (eV/atom) = 0.207
data_LaThSn
_cell_length_a 4.5227
_cell_length_b 19.8014
_cell_length_c 4.4111
_cell_angle_alpha 90.00
_cell_angle_beta 90.00
_cell_angle_gamma 90.00
_space_group_name_H-M_alt 'C m c m'
_space_group_IT_number 63
_space_group_name_Hall '-C 2c 2'
loop_
_atom_site_label
_atom_site_type_symbol
_atom_site_fract_x
_atom_site_fract_y
_atom_site_fract_z
La1 La 0.0000 0.0946 0.2500
Th1 Th 0.0000 0.2846 0.2500
Sn1 Sn 0.0000 0.4512 0.2500

Record 6
# LaThTlSn (GGA-PBE, optimized geometry)
# - VASP energy (eV/atom) = -5.037
# - density of states at the Fermi level (states/eV/cell) = 23.07
# - total magnetization (μB/f.u.) = 0.0
data_LaThTlSn
_cell_length_a 7.8496
_cell_length_b 7.8496
_cell_length_c 7.8496
_cell_angle_alpha 90.00
_cell_angle_beta 90.00
_cell_angle_gamma 90.00
_space_group_name_H-M_alt 'F -4 3 m'
_space_group_IT_number 216
_space_group_name_Hall 'F -4 2 3'
loop_
_atom_site_label
_atom_site_type_symbol
_atom_site_fract_x
_atom_site_fract_y
_atom_site_fract_z
La1 La 0.0000 0.0000 0.0000
Th1 Th 0.0000 0.0000 0.5000
Tl1 Tl 0.2500 0.2500 0.2500
Sn1 Sn 0.2500 0.2500 0.7500

Record 7
# La2TiSn2 (GGA-PBE, optimized geometry)
# - VASP energy (eV/atom) = -5.669
# - density of states at the Fermi level (states/eV/cell) = 10.87
# - total magnetization (μB/f.u.) = 2.0
# - ΔE to the lowest computed polymorph (eV/atom) = 0.000
data_La2TiSn2
_cell_length_a 7.7846
_cell_length_b 7.7846
_cell_length_c 4.8192
_cell_angle_alpha 90.00
_cell_angle_beta 90.00
_cell_angle_gamma 90.00
_space_group_name_H-M_alt 'P 4/m b m'
_space_group_IT_number 127
_space_group_name_Hall '-P 4 2ab'
loop_
_atom_site_label
_atom_site_type_symbol
_atom_site_fract_x
_atom_site_fract_y
_atom_site_fract_z
La1 La 0.1746 0.3254 0.0000
Ti1 Ti 0.0000 0.0000 0.5000
Sn1 Sn 0.1337 0.6337 0.5000

Record 8
# LaTiSn (GGA-PBE, optimized geometry)
# - VASP energy (eV/atom) = -6.073
# - density of states at the Fermi level (states/eV/cell) = 7.95
# - total magnetization (μB/f.u.) = 1.4
data_LaTiSn
_cell_length_a 4.3875
_cell_length_b 4.3875
_cell_length_c 8.4112
_cell_angle_alpha 90.00
_cell_angle_beta 90.00
_cell_angle_gamma 90.00
_space_group_name_H-M_alt 'P 4/n m m'
_space_group_IT_number 129
loop_
_space_group_symop_operation_xyz
'x,y,z'
'-x,-y,-z'
'-y+1/2,x,z'
'y+1/2,-x,-z'
'-x+1/2,-y+1/2,z'
'x+1/2,y+1/2,-z'
'y,-x+1/2,z'
'-y,x+1/2,-z'
'x+1/2,-y,-z'
'-x+1/2,y,z'
'-y,-x,-z'
'y,x,z'
'-x,y+1/2,-z'
'x,-y+1/2,z'
'y+1/2,x+1/2,-z'
'-y+1/2,-x+1/2,z'
loop_
_atom_site_label
_atom_site_type_symbol
_atom_site_fract_x
_atom_site_fract_y
_atom_site_fract_z
La1 La 0.2500 0.2500 0.1532
Ti1 Ti 0.2500 0.7500 0.5000
Sn1 Sn 0.2500 0.2500 0.7269

Record 9
# LaTiSn3 (GGA-PBE, optimized geometry)
# - VASP energy (eV/atom) = -5.216
# - density of states at the Fermi level (states/eV/cell) = 4.38
# - total magnetization (μB/f.u.) = 0.0
data_LaTiSn3
_cell_length_a 5.2405
_cell_length_b 5.2405
_cell_length_c 5.2405
_cell_angle_alpha 90.00
_cell_angle_beta 90.00
_cell_angle_gamma 90.00
_space_group_name_H-M_alt 'P m -3 m'
_space_group_IT_number 221
_space_group_name_Hall '-P 4 2 3'
loop_
_atom_site_label
_atom_site_type_symbol
_atom_site_fract_x
_atom_site_fract_y
_atom_site_fract_z
La1 La 0.0000 0.0000 0.0000
Ti1 Ti 0.5000 0.5000 0.5000
Sn1 Sn 0.0000 0.5000 0.5000

Record 10
# La2Ti2Sn (GGA-PBE, optimized geometry)
# - VASP energy (eV/atom) = -6.032
# - density of states at the Fermi level (states/eV/cell) = 12.52
# - total magnetization (μB/f.u.) = 1.0
data_La2Ti2Sn
_cell_length_a 7.4143
_cell_length_b 7.4143
_cell_length_c 4.6993
_cell_angle_alpha 90.00
_cell_angle_beta 90.00
_cell_angle_gamma 90.00
_space_group_name_H-M_alt 'P 4/m b m'
_space_group_IT_number 127
_space_group_name_Hall '-P 4 2ab'
loop_
_atom_site_label
_atom_site_type_symbol
_atom_site_fract_x
_atom_site_fract_y
_atom_site_fract_z
La1 La 0.1742 0.3258 0.0000
Ti1 Ti 0.1307 0.6307 0.5000
Sn1 Sn 0.0000 0.0000 0.5000

Record 11
# LaTi3Sn (GGA-PBE, optimized geometry)
# - VASP energy (eV/atom) = -5.476
# - density of states at the Fermi level (states/eV/cell) = 5.03
# - total magnetization (μB/f.u.) = 0.0
# - ΔE to the lowest computed polymorph (eV/atom) = 0.339
data_LaTi3Sn
_cell_length_a 4.7956
_cell_length_b 4.7956
_cell_length_c 4.7956
_cell_angle_alpha 90.00
_cell_angle_beta 90.00
_cell_angle_gamma 90.00
_space_group_name_H-M_alt 'P m -3 m'
_space_group_IT_number 221
_space_group_name_Hall '-P 4 2 3'
loop_
_atom_site_label
_atom_site_type_symbol
_atom_site_fract_x
_atom_site_fract_y
_atom_site_fract_z
La1 La 0.0000 0.0000 0.0000
Ti1 Ti 0.0000 0.0000 0.5000
Sn1 Sn 0.5000 0.5000 0.5000

Record 12
# La2TiSn2 (GGA-PBE, optimized geometry)
# - VASP energy (eV/atom) = -5.049
# - density of states at the Fermi level (states/eV/cell) = 10.22
# - total magnetization (μB/f.u.) = 0.0
# - ΔE to the lowest computed polymorph (eV/atom) = 0.619
data_La2TiSn2
_cell_length_a 4.2995
_cell_length_b 4.2995
_cell_length_c 15.1744
_cell_angle_alpha 90.00
_cell_angle_beta 90.00
_cell_angle_gamma 90.00
_space_group_name_H-M_alt 'I 4/m m m'
_space_group_IT_number 139
_space_group_name_Hall '-I 4 2'
loop_
_atom_site_label
_atom_site_type_symbol
_atom_site_fract_x
_atom_site_fract_y
_atom_site_fract_z
La1 La 0.0000 0.5000 0.2500
Ti1 Ti 0.0000 0.0000 0.0000
Sn1 Sn 0.0000 0.0000 0.4115

| no. | ΔE_f (eV/atom) |
| --- | --- |
| 1 | -0.193 |
| 2 | -0.519 |
| 3 | -0.406 |
| 4 | -0.668 |
| 5 | -0.321 |
| 6 | -0.358 |
| 7 | -0.517 |
| 8 | -0.465 |
| 9 | -0.249 |
| 10 | -0.102 |
| 11 | 1.047 |
| 12 | 0.102 |